The following is a GGA+U calculation of crystalline CaLaCr2O6 at its relaxed geometry, from Alexandria via LeMat-Bulk. Values from VASP.

Structure (Quantum ESPRESSO input):
```
&SYSTEM
  ibrav = 0, nat = 20, ntyp = 4
/
ATOMIC_SPECIES
Ca 40.08 Ca.upf
La 138.91 La.upf
Cr 52.00 Cr.upf
O 16.00 O.upf
CELL_PARAMETERS angstrom
5.457 0.000 0.000
0.000 5.531 0.000
-5.441 0.000 7.726
ATOMIC_POSITIONS angstrom
Ca 0.000 1.137 0.000
Ca -2.721 4.394 3.863
La -0.085 1.572 3.853
La -2.805 3.958 7.716
Cr -2.771 1.379 5.792
Cr -0.050 4.152 1.929
Cr 2.678 1.386 1.918
Cr -0.043 4.144 5.781
O -1.186 0.194 2.216
O -3.907 5.337 6.079
O 1.057 2.559 1.607
O -1.663 2.972 5.470
O -1.234 0.212 5.483
O 1.487 5.319 1.620
O -2.325 1.485 7.681
O 0.395 4.046 3.818
O 2.291 1.262 3.889
O 5.011 4.269 0.025
O 1.129 2.519 6.119
O 3.849 3.012 2.256
```

## Properties
**Calculated total energy**: -0.564 Ry/atom
**Calculated volume**: 233 Å³/cell